# Ti3NiH, relaxed, DFT PBE-GGA
# * total DFT energy (no corrections): -6.76 eV per atom
# * symmetry: P-1, No. 2
data_Ti3NiH
_symmetry_space_group_name_H-M 'P 1'
_symmetry_Int_Tables_number 1
_cell_length_a 2.928
_cell_length_b 6.679
_cell_length_c 7.087
_cell_angle_alpha 98.63
_cell_angle_beta 98.99
_cell_angle_gamma 101.78
loop_
_symmetry_equiv_pos_as_xyz
'x,y,z'
loop_
_atom_site_label
_atom_site_type_symbol
_atom_site_fract_x
_atom_site_fract_y
_atom_site_fract_z
Ti1 Ti 0.015 0.210 0.026
Ti2 Ti 0.052 0.405 0.705
Ti3 Ti 0.332 0.005 0.692
Ti4 Ti 0.668 0.995 0.308
Ti5 Ti 0.948 0.595 0.295
Ti6 Ti 0.985 0.790 0.974
Ni1 Ni 0.383 0.324 0.398
Ni2 Ni 0.617 0.676 0.602
H1 H 0.155 0.880 0.418
H2 H 0.845 0.120 0.582